No. 1
Below is LiDyPaRh after structural relaxation, with properties calculated at the GGA-PBE level.

Unit cell a=6.9595 b=6.9595 c=6.9595 alpha=90.00 beta=90.00 gamma=90.00
Space group F-43m (No. 216)
One atom of each set of equivalent atoms:
Li 0.0000 0.0000 0.0000
Dy 0.2500 0.2500 0.7500
Pa 0.2500 0.2500 0.2500
Rh 0.0000 0.0000 0.5000

Values from the calculation:
ΔH_f (0 K): -0.156 eV/atom
electronic total energy: -5.9964 eV/atom


No. 2
Below is ZrH after structural relaxation, with properties calculated at the GGA-PBE level.

Unit cell a=6.2513 b=6.2513 c=6.2513 alpha=90.00 beta=90.00 gamma=90.00
Space group I-43m (No. 217)
One atom of each set of equivalent atoms:
Zr 0.1772 0.1772 0.8228
H 0.1380 0.1380 0.1380

Values from the calculation:
electronic total energy: -5.9290 eV/atom


Question: What is the electronic total energy in the first record?
Answer: -5.9964 eV/atom


Question: electronic total energy of number 1 (LiDyPaRh)?
Answer: -5.9964 eV/atom


Please write out number 2 again, unchanged.
Below is ZrH after structural relaxation, with properties calculated at the GGA-PBE level.

Unit cell a=6.2513 b=6.2513 c=6.2513 alpha=90.00 beta=90.00 gamma=90.00
Space group I-43m (No. 217)
One atom of each set of equivalent atoms:
Zr 0.1772 0.1772 0.8228
H 0.1380 0.1380 0.1380

Values from the calculation:
electronic total energy: -5.9290 eV/atom